Density functional theory data (GGA+U) for crystalline LiAc3Fe2O9 at its relaxed geometry.

abc: 5.5953 5.5953 6.8723
angles: 90.00 90.00 120.00
Space group P-3m1 (No. 164)
Inequivalent atoms, fractional coordinates:
Li 0.0000 0.0000 0.0000 [1 per cell]
Ac 0.0000 0.0000 0.5000 [1 per cell]
Ac 0.3333 0.6667 0.1552 [2 per cell]
Fe 0.3333 0.6667 0.6700 [2 per cell]
O 0.0000 0.5000 0.5000 [3 per cell]
O 0.1710 0.3420 0.8260 [6 per cell]

Values from the calculation:
DOS(E_F), states/eV/cell: 3.2
Crystal system: trigonal
Energy, eV/cell: -106.36